[1]
Here is a relaxed structure of CaTc3Bi from Alexandria via LeMat-Bulk. Energies are from GGA-PBE.

Output
The energy is -5.132 eV/atom. The value obtained for the density of states at the Fermi level is 4.83 states/eV/cell.

a b c (Å): 4.770 4.770 4.770
angles (deg): 90.00 90.00 90.00
Space group Pm-3m (No. 221)
Symmetry-distinct sites (fractional):
Ca (0.000, 0.000, 0.000) x1
Tc (0.000, 0.000, 0.500) x3
Bi (0.500, 0.500, 0.500) x1

---

[2]
Here is a relaxed structure of NaSr2Th from Alexandria via LeMat-Bulk. Energies are from GGA-PBE.

Output
The energy is -2.626 eV/atom. The value obtained for the density of states at the Fermi level is 14.77 states/eV/cell.

a b c (Å): 3.7047 3.7047 42.1577
angles (deg): 90.00 90.00 120.00
Space group R-3m (No. 166, hexagonal axes)
Symmetry-distinct sites (fractional):
Na (0.0000, 0.0000, 0.0000) x3
Sr (0.0000, 0.0000, 0.4134) x6
Th (0.0000, 0.0000, 0.5000) x3

---

[3]
Here is a relaxed structure of ZnMo2H from Alexandria via LeMat-Bulk. Energies are from GGA-PBE.

Output
The energy is -6.420 eV/atom. The value obtained for the density of states at the Fermi level is 11.80 states/eV/cell.

a b c (Å): 2.8566 2.8566 20.7965
angles (deg): 90.00 90.00 120.00
Space group R3m (No. 160, hexagonal axes)
Symmetry-distinct sites (fractional):
Zn (0.0000, 0.0000, 0.0000) x3
Mo (0.0000, 0.0000, 0.2240) x3
Mo (0.0000, 0.0000, 0.4426) x3
H (0.0000, 0.0000, 0.8326) x3

---

[4]
Here is a relaxed structure of V2RuPbCl from Alexandria via LeMat-Bulk. Energies are from GGA-PBE.

Output
The energy is -4.591 eV/atom. The value obtained for the density of states at the Fermi level is 13.60 states/eV/cell. For the formation energy from raw total energies, the calculation gives 2022 meV/atom.

a b c (Å): 5.249 5.249 5.337
angles (deg): 90.00 90.00 90.00
Space group P4/mmm (No. 123)
Symmetry-distinct sites (fractional):
V (0.000, 0.500, 0.000) x2
Ru (0.000, 0.000, 0.500) x1
Pb (0.500, 0.500, 0.000) x1
Cl (0.500, 0.500, 0.500) x1

---

[5]
Here is a relaxed structure of CuAsP from Alexandria via LeMat-Bulk. Energies are from GGA-PBE.

Output
The energy is -4.179 eV/atom. The value obtained for the density of states at the Fermi level is 2.40 states/eV/cell.

a b c (Å): 4.1340 4.1340 6.7167
angles (deg): 90.00 90.00 120.00
Space group P6_3/mmc (No. 194)
Symmetry-distinct sites (fractional):
Cu (0.3333, 0.6667, 0.2500) x2
As (0.3333, 0.6667, 0.7500) x2
P (0.0000, 0.0000, 0.0000) x2

---

[6]
Here is a relaxed structure of LiTlMo2 from Alexandria via LeMat-Bulk. Energies are from GGA-PBE.

Output
The energy is -6.010 eV/atom. The value obtained for the density of states at the Fermi level is 5.89 states/eV/cell.

a b c (Å): 6.453 6.453 6.453
angles (deg): 90.00 90.00 90.00
Space group F-43m (No. 216)
Symmetry-distinct sites (fractional):
Li (0.000, 0.000, 0.000) x4
Tl (0.250, 0.250, 0.250) x4
Mo (0.000, 0.000, 0.500) x4
Mo (0.250, 0.250, 0.750) x4

---

[7]
Here is a relaxed structure of Th2SnAsRh6 from Alexandria via LeMat-Bulk. Energies are from GGA-PBE.

Output
The energy is -7.410 eV/atom. The value obtained for the density of states at the Fermi level is 13.30 states/eV/cell.

a b c (Å): 5.592 8.675 8.329
angles (deg): 90.00 90.00 90.00
Space group Pmmn (No. 59, origin choice 2)
Symmetry-distinct sites (fractional):
Th (0.250, 0.010, 0.241) x4
Sn (0.250, 0.250, 0.781) x2
As (0.250, 0.750, 0.731) x2
Rh (0.001, 0.250, 0.510) x4
Rh (0.004, 0.250, 0.042) x4
Rh (0.250, 0.501, 0.593) x4

---

[8]
Here is a relaxed structure of Tb3Y2N4 from Alexandria via LeMat-Bulk. Energies are from GGA-PBE.

Output
The energy is -8.152 eV/atom. The value obtained for the density of states at the Fermi level is 9.34 states/eV/cell. For the formation energy from raw total energies, the calculation gives -1471 meV/atom.

a b c (Å): 6.071 3.505 14.529
angles (deg): 90.00 90.08 90.00
Space group C2/m (No. 12)
Symmetry-distinct sites (fractional):
Tb (0.000, 0.000, 0.000) x2
Tb (0.166, 0.500, 0.617) x4
Y (0.167, 0.500, 0.191) x4
N (0.001, 0.000, 0.300) x4
N (0.166, 0.500, 0.900) x4